## La2MoPb (PBE-GGA)

Data for a geometry-optimized La2MoPb structure.

extended XYZ file:
```
4
Lattice="-3.686 -4.339 -1.182 2.516 -4.827 2.045 -1.566 5.113 2.283" Properties=species:S:1:pos:R:3 pbc="T T T"
La -1.128 -8.837 0.832
La -0.627 -4.912 0.463
Mo -2.919 -1.904 0.766
Pb 0.182 -2.148 2.380
```

Total moment in μB/f.u.: 1.37
Symmetry: Immm
Crystal system: orthorhombic
Formation enthalpy at 0 K in meV/atom: 197



## CsBCl2 (PBE-GGA)

Data for a geometry-optimized CsBCl2 structure.

extended XYZ file:
```
8
Lattice="6.560 0.000 0.000 0.000 6.560 0.000 3.280 3.280 6.486" Properties=species:S:1:pos:R:3 pbc="T T T"
Cs 0.000 0.000 0.000
Cs 6.560 3.280 3.243
B 3.280 3.280 0.000
B 3.280 6.560 3.243
Cl 3.932 1.640 1.621
Cl 2.628 4.920 1.621
Cl 4.920 5.908 4.864
Cl 8.200 7.212 4.864
```

Total moment in μB/f.u.: 0.00
Symmetry: I-42d
E_form (uncorrected) in eV per atom: -0.1790
Crystal system: tetragonal
Energy above the lowest structure with this stoichiometry in meV per atom: 0



## Cs3Zn2P2 (PBE-GGA)

Data for a geometry-optimized Cs3Zn2P2 structure.

extended XYZ file:
```
28
Lattice="-6.427 3.032 -1.718 -2.664 -7.682 -3.591 -5.142 -3.950 12.264" Properties=species:S:1:pos:R:3 pbc="T T T"
Cs -2.886 -4.967 -1.085
Cs -9.906 -2.527 4.604
Cs -8.134 0.192 2.773
Cs -7.539 -9.899 7.618
Cs -11.347 -3.634 8.040
Cs -4.327 -6.074 2.351
Cs -6.099 -8.792 4.182
Cs -6.694 1.298 -0.663
Cs -4.062 -2.324 1.471
Cs -10.171 -6.276 5.484
Cs -7.845 -5.009 -0.980
Cs -6.388 -3.591 7.935
Zn -5.592 -2.127 -1.671
Zn -6.960 -5.183 4.618
Zn -7.249 -7.899 0.904
Zn -8.665 -1.993 10.059
Zn -8.641 -6.474 8.626
Zn -7.273 -3.418 2.338
Zn -6.984 -0.702 6.051
Zn -5.568 -6.608 -3.104
P -3.479 -0.594 -1.650
P -8.183 -6.032 2.473
P -5.612 -4.057 -3.660
P -6.050 -2.569 4.482
P -7.244 -2.021 0.235
P -6.989 -6.580 6.720
P -5.378 -7.371 -0.705
P -8.855 -1.230 7.660
```

Total moment in μB/f.u.: 0.00
Symmetry: Pbcm
Crystal system: orthorhombic
Formation enthalpy at 0 K in meV/atom: -112



## Na3Sr13 (PBE-GGA)

Data for a geometry-optimized Na3Sr13 structure.

extended XYZ file:
```
16
Lattice="9.431 -0.032 0.000 -0.028 9.431 0.000 0.000 0.000 9.302" Properties=species:S:1:pos:R:3 pbc="T T T"
Na 9.395 0.004 6.963
Na 7.209 2.191 0.000
Na 9.395 0.004 2.339
Sr 9.346 4.641 7.031
Sr 4.757 4.644 7.059
Sr 4.759 0.055 7.031
Sr 2.162 2.204 0.000
Sr 7.198 7.238 0.000
Sr 2.240 7.163 0.000
Sr 9.346 4.641 2.271
Sr 4.757 4.644 2.243
Sr 4.759 0.055 2.271
Sr 7.174 2.226 4.651
Sr 2.261 2.281 4.651
Sr 7.121 7.139 4.651
Sr 2.263 7.140 4.651
```

Total moment in μB/f.u.: 0.00
Symmetry: Amm2
Crystal system: orthorhombic
Formation enthalpy at 0 K in meV/atom: 20